Sr2CuBrO2 at its PBEsol-relaxed geometry, computed with meta-GGA SCAN.

a b c (Å): 9.648 9.648 9.648
angles (deg): 23.99 23.99 23.99
Sites, in units of the cell vectors:
Sr1 0.247 0.247 0.247
Sr2 0.753 0.753 0.753
Cu1 0.000 0.000 0.000
Br1 0.500 0.500 0.500
O1 0.064 0.064 0.064
O2 0.936 0.936 0.936

## Properties
**Spin magnetization**: 0.07 Bohr magnetons per cell
**E**: -17.560 eV/atom